1.
Sc2Ga2Ir | the Alexandria database | PBE | relaxed; M_tot = 0.00 Bohr magnetons per cell; distance to the lowest polymorph of the same formula = 0.00 eV per formula unit; DFT formation energy = -0.73 eV per atom
1.0
6.714 0.000 0.000
0.000 6.714 0.000
0.000 0.000 7.850
Sc Ga Ir
8 8 4
Direct
0.171 0.322 0.000 Sc
0.178 0.329 0.500 Sc
0.322 0.829 0.000 Sc
0.329 0.822 0.500 Sc
0.671 0.178 0.500 Sc
0.678 0.171 0.000 Sc
0.822 0.671 0.500 Sc
0.829 0.678 0.000 Sc
0.132 0.632 0.250 Ga
0.132 0.632 0.750 Ga
0.368 0.132 0.250 Ga
0.368 0.132 0.750 Ga
0.632 0.868 0.250 Ga
0.632 0.868 0.750 Ga
0.868 0.368 0.250 Ga
0.868 0.368 0.750 Ga
0.000 0.000 0.228 Ir
0.000 0.000 0.772 Ir
0.500 0.500 0.272 Ir
0.500 0.500 0.728 Ir



2.
ScGa3Ir3 | the Alexandria database | PBE | relaxed; M_tot = 0.00 Bohr magnetons per cell; DFT formation energy = 0.28 eV per atom
1.0
6.731 0.000 0.000
0.000 6.731 0.000
0.000 0.000 6.731
Sc Ga Ir
2 6 6
Direct
0.000 0.000 0.000 Sc
0.500 0.500 0.500 Sc
0.000 0.250 0.500 Ga
0.000 0.750 0.500 Ga
0.250 0.500 0.000 Ga
0.500 0.000 0.250 Ga
0.500 0.000 0.750 Ga
0.750 0.500 0.000 Ga
0.000 0.500 0.250 Ir
0.000 0.500 0.750 Ir
0.250 0.000 0.500 Ir
0.500 0.250 0.000 Ir
0.500 0.750 0.000 Ir
0.750 0.000 0.500 Ir



3.
Sc5Ga4Ir | the Alexandria database | PBE | relaxed; M_tot = 0.00 Bohr magnetons per cell; DFT formation energy = -0.69 eV per atom
1.0
3.339 0.000 0.000
0.000 3.339 0.000
0.000 0.000 16.624
Sc Ga Ir
5 4 1
Direct
0.000 0.000 0.000 Sc
0.000 0.000 0.205 Sc
0.000 0.000 0.408 Sc
0.000 0.000 0.592 Sc
0.000 0.000 0.795 Sc
0.500 0.500 0.102 Ga
0.500 0.500 0.307 Ga
0.500 0.500 0.693 Ga
0.500 0.500 0.898 Ga
0.500 0.500 0.500 Ir



4.
Sc6GaIr2 | the Alexandria database | PBE | relaxed; M_tot = 0.00 Bohr magnetons per cell; DFT formation energy = -0.66 eV per atom
1.0
-4.381 4.403 4.851
4.381 -4.403 4.851
4.381 4.403 -4.851
Sc Ga Ir
12 2 4
Direct
0.036 0.832 0.203 Sc
0.241 0.540 0.299 Sc
0.241 0.942 0.701 Sc
0.281 0.319 0.600 Sc
0.281 0.681 0.963 Sc
0.371 0.168 0.203 Sc
0.629 0.832 0.797 Sc
0.719 0.319 0.037 Sc
0.719 0.681 0.400 Sc
0.759 0.058 0.299 Sc
0.759 0.460 0.701 Sc
0.964 0.168 0.797 Sc
0.000 0.500 0.500 Ga
0.500 0.000 0.500 Ga
0.000 0.167 0.167 Ir
0.000 0.833 0.833 Ir
0.362 0.362 0.000 Ir
0.638 0.638 0.000 Ir



5.
ScGa5Ir6 | the Alexandria database | PBE | relaxed; M_tot = 0.00 Bohr magnetons per cell; DFT formation energy = -0.54 eV per atom
1.0
4.247 0.000 0.000
0.000 6.502 0.000
-2.112 0.000 6.375
Sc Ga Ir
1 5 6
Direct
0.000 0.000 0.000 Sc
0.000 0.500 0.000 Ga
0.334 0.500 0.668 Ga
0.338 0.000 0.675 Ga
0.662 0.000 0.325 Ga
0.666 0.500 0.332 Ga
0.171 0.254 0.342 Ir
0.171 0.746 0.342 Ir
0.500 0.266 0.000 Ir
0.500 0.734 0.000 Ir
0.829 0.254 0.658 Ir
0.829 0.746 0.658 Ir



6.
Sc8GaIr2 | the Alexandria database | PBE | relaxed; M_tot = 0.00 Bohr magnetons per cell; DFT formation energy = -0.50 eV per atom
1.0
-2.276 3.616 6.922
2.276 -3.616 6.922
2.276 3.616 -6.922
Sc Ga Ir
8 1 2
Direct
0.111 0.329 0.783 Sc
0.136 0.136 0.000 Sc
0.310 0.000 0.310 Sc
0.454 0.671 0.783 Sc
0.546 0.329 0.217 Sc
0.690 0.000 0.690 Sc
0.864 0.864 0.000 Sc
0.889 0.671 0.217 Sc
0.000 0.500 0.500 Ga
0.323 0.823 0.500 Ir
0.677 0.177 0.500 Ir